# EuYNi | the Alexandria database | GGA-PBE | relaxed
# - Formation energy from the elements: -150 meV/atom
# - Total magnetization: 7.30 μB per formula unit
data_EuYNi
_chemical_formula_sum 'Eu2 Y2 Ni2'
_space_group_name_H-M_alt 'I 4 m m'
_space_group_IT_number 107
_space_group_name_Hall 'I 4 -2'
_cell_length_a 3.4934
_cell_length_b 3.4934
_cell_length_c 12.7912
_cell_angle_alpha 90.00
_cell_angle_beta 90.00
_cell_angle_gamma 90.00
loop_
_atom_site_label
_atom_site_type_symbol
_atom_site_fract_x
_atom_site_fract_y
_atom_site_fract_z
Eu1 Eu 0.0000 0.0000 0.0000
Y1 Y 0.0000 0.0000 0.2592
Ni1 Ni 0.0000 0.0000 0.6490

***

# EuYNi2 | the Alexandria database | GGA-PBE | relaxed
# - Formation energy from the elements: -221 meV/atom
# - Total magnetization: 7.09 μB per formula unit
data_EuYNi2
_chemical_formula_sum 'Eu1 Y1 Ni2'
_space_group_name_H-M_alt 'P 4/m m m'
_space_group_IT_number 123
_space_group_name_Hall '-P 4 2'
_cell_length_a 3.4338
_cell_length_b 3.4338
_cell_length_c 6.9483
_cell_angle_alpha 90.00
_cell_angle_beta 90.00
_cell_angle_gamma 90.00
loop_
_atom_site_label
_atom_site_type_symbol
_atom_site_fract_x
_atom_site_fract_y
_atom_site_fract_z
Eu1 Eu 0.0000 0.0000 0.0000
Y1 Y 0.0000 0.0000 0.5000
Ni1 Ni 0.5000 0.5000 0.2806

***

# EuY3Ni | the Alexandria database | GGA-PBE | relaxed
# - Formation energy from the elements: -86 meV/atom
# - Total magnetization: 7.74 μB per formula unit
data_EuY3Ni
_chemical_formula_sum 'Eu1 Y3 Ni1'
_space_group_name_H-M_alt 'P m -3 m'
_space_group_IT_number 221
_space_group_name_Hall '-P 4 2 3'
_cell_length_a 5.4030
_cell_length_b 5.4030
_cell_length_c 5.4030
_cell_angle_alpha 90.00
_cell_angle_beta 90.00
_cell_angle_gamma 90.00
loop_
_atom_site_label
_atom_site_type_symbol
_atom_site_fract_x
_atom_site_fract_y
_atom_site_fract_z
Eu1 Eu 0.0000 0.0000 0.0000
Y1 Y 0.0000 0.5000 0.5000
Ni1 Ni 0.5000 0.5000 0.5000